Re2IrPdRh | PBE-GGA | optimized geometry

Properties
As for the total moment: 0.149 μB per atom. For the formation energy, the calculation gives 11.0 eV per formula unit. For the raw total energy, the calculation gives -7.050 eV per atom.

Unit cell a=4.606 b=4.606 c=4.732 alpha=90.00 beta=90.00 gamma=90.00
Space group P4/mmm (No. 123)
Asymmetric unit:
1 Re 0.000 0.500 0.000 (multiplicity 2)
2 Ir 0.000 0.000 0.500 (multiplicity 1)
3 Pd 0.500 0.500 0.500 (multiplicity 1)
4 Rh 0.000 0.000 0.000 (multiplicity 1)

=====

ReIrPd2Ru | PBE-GGA | optimized geometry

Properties
As for the total moment: 0.718 μB per atom. For the formation energy, the calculation gives 9.7 eV per formula unit. For the raw total energy, the calculation gives -6.255 eV per atom.

Unit cell a=4.801 b=4.801 c=4.618 alpha=90.00 beta=90.00 gamma=90.00
Space group P4/mmm (No. 123)
Asymmetric unit:
1 Re 0.000 0.000 0.000 (multiplicity 1)
2 Ir 0.000 0.000 0.500 (multiplicity 1)
3 Pd 0.000 0.500 0.500 (multiplicity 2)
4 Ru 0.500 0.500 0.000 (multiplicity 1)

=====

ReIrPdSe2 | PBE-GGA | optimized geometry

Properties
As for the total moment: 0.518 μB per atom. The energy relative to the elements, uncorrected comes out at 1.430 eV per atom. For the raw total energy, the calculation gives -5.264 eV per atom.

Unit cell a=4.857 b=4.857 c=4.841 alpha=90.00 beta=90.00 gamma=90.00
Space group P4/mmm (No. 123)
Asymmetric unit:
1 Re 0.000 0.000 0.000 (multiplicity 1)
2 Ir 0.000 0.000 0.500 (multiplicity 1)
3 Pd 0.500 0.500 0.000 (multiplicity 1)
4 Se 0.000 0.500 0.500 (multiplicity 2)

=====

VReIrPd2 | PBE-GGA | optimized geometry

Properties
As for the total moment: 0.023 μB per atom. For the formation energy, the calculation gives 8.2 eV per formula unit. For the raw total energy, the calculation gives -6.530 eV per atom.

Unit cell a=4.762 b=4.762 c=4.691 alpha=90.00 beta=90.00 gamma=90.00
Space group P4/mmm (No. 123)
Asymmetric unit:
1 V 0.000 0.000 0.000 (multiplicity 1)
2 Re 0.500 0.500 0.500 (multiplicity 1)
3 Ir 0.500 0.500 0.000 (multiplicity 1)
4 Pd 0.000 0.500 0.500 (multiplicity 2)

=====

IrPd2Rh | PBE-GGA | optimized geometry

Properties
As for the total moment: 0.000 μB per atom. For the formation energy, the calculation gives 0.2 eV per formula unit. For the raw total energy, the calculation gives -6.591 eV per atom. Its energy relative to the lowest polymorph listed for this composition is 0.0 meV per atom.

Unit cell a=2.7556 b=2.7556 c=27.0646 alpha=90.00 beta=90.00 gamma=120.00
Space group R3m (No. 160, hexagonal axes)
Asymmetric unit:
1 Ir 0.0000 0.0000 0.0000 (multiplicity 3)
2 Pd 0.0000 0.0000 0.4172 (multiplicity 3)
3 Pd 0.0000 0.0000 0.8359 (multiplicity 3)
4 Rh 0.0000 0.0000 0.2537 (multiplicity 3)

=====

Ir2PdRh9 | PBE-GGA | optimized geometry

Properties
As for the total moment: 0.000 μB per atom. For the formation energy, the calculation gives 0.1 eV per formula unit. For the raw total energy, the calculation gives -7.411 eV per atom.

Unit cell a=3.851 b=3.851 c=11.582 alpha=90.00 beta=90.00 gamma=90.00
Space group P4/mmm (No. 123)
Asymmetric unit:
1 Ir 0.000 0.000 0.168 (multiplicity 2)
2 Pd 0.000 0.000 0.500 (multiplicity 1)
3 Rh 0.000 0.500 0.000 (multiplicity 2)
4 Rh 0.000 0.500 0.330 (multiplicity 4)
5 Rh 0.500 0.500 0.165 (multiplicity 2)
6 Rh 0.500 0.500 0.500 (multiplicity 1)

=====

IrPd2Rh | PBE-GGA | optimized geometry

Properties
As for the total moment: 0.110 μB per atom. For the formation energy, the calculation gives 1.2 eV per formula unit. For the raw total energy, the calculation gives -6.355 eV per atom. Its energy relative to the lowest polymorph listed for this composition is 236.4 meV per atom.

Unit cell a=6.221 b=6.221 c=6.221 alpha=90.00 beta=90.00 gamma=90.00
Space group F-43m (No. 216)
Asymmetric unit:
1 Ir 0.000 0.000 0.000 (multiplicity 4)
2 Pd 0.000 0.000 0.500 (multiplicity 4)
3 Pd 0.250 0.250 0.750 (multiplicity 4)
4 Rh 0.250 0.250 0.250 (multiplicity 4)

=====

IrPdRh6 | PBE-GGA | optimized geometry

Properties
As for the total moment: 0.000 μB per atom. For the formation energy, the calculation gives 0.2 eV per formula unit. For the raw total energy, the calculation gives -7.242 eV per atom. Its energy relative to the lowest polymorph listed for this composition is 9.7 meV per atom.

Unit cell a=8.623 b=3.848 c=7.732 alpha=90.00 beta=116.54 gamma=90.00
Space group C2/m (No. 12)
Asymmetric unit:
1 Ir 0.000 0.000 0.000 (multiplicity 2)
2 Pd 0.000 0.000 0.500 (multiplicity 2)
3 Rh 0.002 0.500 0.245 (multiplicity 4)
4 Rh 0.249 0.500 0.122 (multiplicity 4)
5 Rh 0.250 0.000 0.373 (multiplicity 4)

=====

IrPd3Rh12 | PBE-GGA | optimized geometry

Properties
As for the total moment: 0.000 μB per atom. For the formation energy, the calculation gives 0.9 eV per formula unit. For the raw total energy, the calculation gives -6.982 eV per atom.

Unit cell a=3.861 b=3.861 c=15.461 alpha=90.00 beta=90.00 gamma=90.00
Space group P4/mmm (No. 123)
Asymmetric unit:
1 Ir 0.000 0.000 0.000 (multiplicity 1)
2 Pd 0.000 0.000 0.250 (multiplicity 2)
3 Pd 0.000 0.000 0.500 (multiplicity 1)
4 Rh 0.000 0.500 0.122 (multiplicity 4)
5 Rh 0.000 0.500 0.375 (multiplicity 4)
6 Rh 0.500 0.500 0.000 (multiplicity 1)
7 Rh 0.500 0.500 0.249 (multiplicity 2)
8 Rh 0.500 0.500 0.500 (multiplicity 1)

=====

IrPdRh6 | PBE-GGA | optimized geometry

Properties
As for the total moment: 0.000 μB per atom. For the formation energy, the calculation gives 0.1 eV per formula unit. For the raw total energy, the calculation gives -7.252 eV per atom. Its energy relative to the lowest polymorph listed for this composition is 0.0 meV per atom.

Unit cell a=3.853 b=3.853 c=7.730 alpha=90.00 beta=90.00 gamma=90.00
Space group P4/mmm (No. 123)
Asymmetric unit:
1 Ir 0.000 0.000 0.000 (multiplicity 1)
2 Pd 0.000 0.000 0.500 (multiplicity 1)
3 Rh 0.000 0.500 0.245 (multiplicity 4)
4 Rh 0.500 0.500 0.000 (multiplicity 1)
5 Rh 0.500 0.500 0.500 (multiplicity 1)

=====

Ir2PdRh4 | PBE-GGA | optimized geometry

Properties
As for the total moment: 0.000 μB per atom. For the formation energy, the calculation gives 0.1 eV per formula unit. For the raw total energy, the calculation gives -7.463 eV per atom.

Unit cell a=2.7302 b=2.7302 c=46.9585 alpha=90.00 beta=90.00 gamma=120.00
Space group R-3m (No. 166, hexagonal axes)
Asymmetric unit:
1 Ir 0.0000 0.0000 0.0710 (multiplicity 6)
2 Pd 0.0000 0.0000 0.5000 (multiplicity 3)
3 Rh 0.0000 0.0000 0.2155 (multiplicity 6)
4 Rh 0.0000 0.0000 0.3573 (multiplicity 6)

=====

IrPd2Rh8 | PBE-GGA | optimized geometry

Properties
As for the total moment: 0.000 μB per atom. For the formation energy, the calculation gives 4.2 eV per formula unit. For the raw total energy, the calculation gives -6.714 eV per atom.

Unit cell a=7.038 b=12.234 c=4.664 alpha=90.00 beta=122.91 gamma=90.00
Space group C2/m (No. 12)
Asymmetric unit:
1 Ir 0.000 0.000 0.000 (multiplicity 2)
2 Pd 0.000 0.309 0.500 (multiplicity 4)
3 Rh 0.000 0.210 0.000 (multiplicity 4)
4 Rh 0.080 0.500 0.810 (multiplicity 4)
5 Rh 0.208 0.111 0.636 (multiplicity 8)

=====

IrPd2Rh2 | PBE-GGA | optimized geometry

Properties
As for the total moment: 0.000 μB per atom. For the formation energy, the calculation gives 3.0 eV per formula unit. For the raw total energy, the calculation gives -6.187 eV per atom.

Unit cell a=3.547 b=3.547 c=12.847 alpha=90.00 beta=90.00 gamma=90.00
Space group I4/mmm (No. 139)
Asymmetric unit:
1 Ir 0.000 0.000 0.000 (multiplicity 2)
2 Pd 0.000 0.500 0.250 (multiplicity 4)
3 Rh 0.000 0.000 0.405 (multiplicity 4)

=====

IrPdRh | PBE-GGA | optimized geometry

Properties
As for the total moment: 0.000 μB per atom. For the formation energy, the calculation gives 0.1 eV per formula unit. For the raw total energy, the calculation gives -7.102 eV per atom. Its energy relative to the lowest polymorph listed for this composition is 21.3 meV per atom.

Unit cell a=2.746 b=3.873 c=8.264 alpha=90.00 beta=90.07 gamma=90.00
Space group P2_1/m (No. 11)
Asymmetric unit:
1 Ir 0.250 0.250 0.080 (multiplicity 2)
2 Pd 0.250 0.250 0.414 (multiplicity 2)
3 Rh 0.249 0.250 0.757 (multiplicity 2)

=====

Ir3Pd2Rh8 | PBE-GGA | optimized geometry

Properties
As for the total moment: 0.000 μB per atom. For the formation energy, the calculation gives 4.3 eV per formula unit. For the raw total energy, the calculation gives -7.036 eV per atom.

Unit cell a=6.261 b=15.585 c=4.190 alpha=90.00 beta=90.00 gamma=90.00
Space group Cmmm (No. 65)
Asymmetric unit:
1 Ir 0.000 0.000 0.000 (multiplicity 2)
2 Ir 0.206 0.500 0.500 (multiplicity 4)
3 Pd 0.000 0.236 0.000 (multiplicity 4)
4 Rh 0.000 0.120 0.500 (multiplicity 4)
5 Rh 0.000 0.341 0.500 (multiplicity 4)
6 Rh 0.208 0.387 0.000 (multiplicity 8)

=====

IrPd2Rh | PBE-GGA | optimized geometry

Properties
As for the total moment: 0.000 μB per atom. For the formation energy, the calculation gives 0.6 eV per formula unit. For the raw total energy, the calculation gives -6.503 eV per atom. Its energy relative to the lowest polymorph listed for this composition is 88.1 meV per atom.

Unit cell a=2.763 b=2.763 c=7.754 alpha=90.00 beta=90.00 gamma=90.00
Space group P4/mmm (No. 123)
Asymmetric unit:
1 Ir 0.000 0.000 0.000 (multiplicity 1)
2 Pd 0.500 0.500 0.249 (multiplicity 2)
3 Rh 0.000 0.000 0.500 (multiplicity 1)

=====

IrPdRh5 | PBE-GGA | optimized geometry

Properties
As for the total moment: 0.000 μB per atom. For the formation energy, the calculation gives 2.0 eV per formula unit. For the raw total energy, the calculation gives -6.980 eV per atom.

Unit cell a=3.827 b=3.827 c=7.426 alpha=90.00 beta=90.00 gamma=90.00
Space group P4/mmm (No. 123)
Asymmetric unit:
1 Ir 0.000 0.000 0.000 (multiplicity 1)
2 Pd 0.000 0.000 0.500 (multiplicity 1)
3 Rh 0.000 0.500 0.234 (multiplicity 4)
4 Rh 0.500 0.500 0.500 (multiplicity 1)

=====

IrPdRh | PBE-GGA | optimized geometry

Properties
As for the total moment: 0.000 μB per atom. For the formation energy, the calculation gives 0.2 eV per formula unit. For the raw total energy, the calculation gives -7.060 eV per atom. Its energy relative to the lowest polymorph listed for this composition is 63.8 meV per atom.

Unit cell a=2.750 b=2.750 c=11.657 alpha=90.00 beta=90.00 gamma=90.00
Space group I4mm (No. 107)
Asymmetric unit:
1 Ir 0.000 0.000 0.000 (multiplicity 2)
2 Pd 0.000 0.000 0.330 (multiplicity 2)
3 Rh 0.000 0.000 0.656 (multiplicity 2)

=====

Ir3PdRh | PBE-GGA | optimized geometry

Properties
As for the total moment: 0.000 μB per atom. For the formation energy, the calculation gives 10.1 eV per formula unit. For the raw total energy, the calculation gives -5.815 eV per atom. Its energy relative to the lowest polymorph listed for this composition is 0.0 meV per atom.

Unit cell a=4.674 b=4.674 c=4.674 alpha=90.00 beta=90.00 gamma=90.00
Space group Pm-3m (No. 221)
Asymmetric unit:
1 Ir 0.000 0.000 0.500 (multiplicity 3)
2 Pd 0.500 0.500 0.500 (multiplicity 1)
3 Rh 0.000 0.000 0.000 (multiplicity 1)

=====

IrPd2Rh | PBE-GGA | optimized geometry

Properties
As for the total moment: 0.000 μB per atom. For the formation energy, the calculation gives 1.4 eV per formula unit. For the raw total energy, the calculation gives -6.305 eV per atom. Its energy relative to the lowest polymorph listed for this composition is 286.4 meV per atom.

Unit cell a=6.217 b=6.217 c=6.217 alpha=90.00 beta=90.00 gamma=90.00
Space group Fm-3m (No. 225)
Asymmetric unit:
1 Ir 0.000 0.000 0.000 (multiplicity 4)
2 Pd 0.250 0.250 0.250 (multiplicity 8)
3 Rh 0.000 0.000 0.500 (multiplicity 4)